# 1
! Al2Pd2Au | Alexandria via LeMat-Bulk | PBE-GGA | optimized geometry; values from VASP
! - Calculated total energy: -4.886 eV/atom
! - Space-group type: Cmc2_1, No. 36
! - ΔH_f (0 K): -0.656 eV/atom
&SYSTEM
  ibrav = 0, nat = 10, ntyp = 3
/
ATOMIC_SPECIES
Pd 106.42 Pd.upf
Al 26.98 Al.upf
Au 196.97 Au.upf
CELL_PARAMETERS angstrom
-0.2738 -3.1936 2.6569
4.4503 -2.2237 -2.2142
4.1046 5.0260 3.2023
ATOMIC_POSITIONS crystal
Pd 0.1752 0.8958 0.3504
Pd 0.8248 0.3958 0.6496
Pd 0.9744 0.7879 0.9487
Pd 0.0256 0.2879 0.0513
Al 0.4290 0.5380 0.8579
Al 0.5710 0.0380 0.1421
Al 0.2113 0.3575 0.4225
Al 0.7887 0.8575 0.5775
Au 0.6243 0.5551 0.2486
Au 0.3757 0.0551 0.7514


# 2
! AlPd3Au2 | Alexandria via LeMat-Bulk | PBE-GGA | optimized geometry; values from VASP
! - Calculated total energy: -4.764 eV/atom
! - Space-group type: Cmmm, No. 65
! - ΔH_f (0 K): -0.451 eV/atom
&SYSTEM
  ibrav = 0, nat = 12, ntyp = 3
/
ATOMIC_SPECIES
Pd 106.42 Pd.upf
Au 196.97 Au.upf
Al 26.98 Al.upf
CELL_PARAMETERS angstrom
-1.8506 -0.8986 -3.7165
4.5499 -2.9002 -3.9920
-1.8846 -6.3675 2.4780
ATOMIC_POSITIONS crystal
Pd 0.1752 0.6496 0.2195
Pd 0.5000 0.0000 0.7597
Pd 0.8248 0.3504 0.2195
Pd 0.5000 0.0000 0.2403
Pd 0.1752 0.6496 0.7805
Pd 0.8248 0.3504 0.7805
Au 0.6674 0.6653 0.5000
Au 0.0000 0.0000 0.5000
Au 0.3326 0.3347 0.5000
Au 0.0000 0.0000 0.0000
Al 0.3422 0.3155 0.0000
Al 0.6578 0.6845 0.0000


# 3
! Al2Pd8Au | Alexandria via LeMat-Bulk | PBE-GGA | optimized geometry; values from VASP
! - Calculated total energy: -5.239 eV/atom
! - Space-group type: C2/m, No. 12
! - ΔH_f (0 K): -0.484 eV/atom
&SYSTEM
  ibrav = 0, nat = 11, ntyp = 3
/
ATOMIC_SPECIES
Pd 106.42 Pd.upf
Al 26.98 Al.upf
Au 196.97 Au.upf
CELL_PARAMETERS angstrom
4.0582 0.0000 0.0000
0.0000 6.3754 0.1875
-2.0291 -2.5142 6.4427
ATOMIC_POSITIONS crystal
Pd 0.1543 0.2202 0.3086
Pd 0.3197 0.0748 0.6394
Pd 0.6063 0.4700 0.2127
Pd 0.9559 0.2738 0.9118
Pd 0.3937 0.5300 0.7873
Pd 0.8457 0.7798 0.6914
Pd 0.0441 0.7262 0.0882
Pd 0.6803 0.9252 0.3606
Al 0.7808 0.3414 0.5616
Al 0.2192 0.6586 0.4384
Au 0.5000 0.0000 0.0000


Q: Which of these has the highest calculated total energy?
A: AlPd3Au2